A relaxed structure of HgBi4Rh, computed with GGA-PBE.

Cell lengths 6.223, 7.402, 7.402 Å; angles 90.25, 92.52, 92.52 degrees
Fractional coordinates of all 12 atoms:
Bi 0.016 0.303 0.128
Bi 0.516 0.128 0.303
Bi 0.984 0.697 0.872
Bi 0.522 0.302 0.873
Bi 0.484 0.872 0.697
Bi 0.478 0.698 0.127
Bi 0.978 0.127 0.698
Bi 0.022 0.873 0.302
Hg 0.750 0.515 0.485
Hg 0.250 0.485 0.515
Rh 0.750 0.991 0.009
Rh 0.250 0.009 0.991

Total moment   0.000 μB per atom
Energy relative to the elements   -0.0725 eV/atom